# 1
NpAgBr6: optimized geometry, PBE-GGA.

Properties
final energy = -98.48 eV for the cell shown
spin magnetization = 2.0 μB/f.u.

a b c (Å): 7.0170 7.0170 19.1179
angles (deg): 90.00 90.00 120.00
Space group R-3 (No. 148, hexagonal axes)
Inequivalent atoms, fractional coordinates:
Np: 0.0000 0.0000 0.0000 x3
Ag: 0.0000 0.0000 0.5000 x3
Br: 0.0084 0.6894 0.0815 x18

# 2
AgBr2O6: optimized geometry, PBE-GGA.

Properties
final energy = -33.16 eV for the cell shown

a b c (Å): 3.582 6.768 7.018
angles (deg): 70.94 89.07 89.68
Space group P-1 (No. 2)
Inequivalent atoms, fractional coordinates:
Ag: 0.000 0.000 0.000 x1
Br: 0.493 0.174 0.155 x2
O: 0.056 0.477 0.317 x2
O: 0.089 0.690 0.513 x2
O: 0.109 0.336 0.657 x2

# 3
AgBrO6: optimized geometry, PBE-GGA.

Properties
final energy = -105.99 eV for the cell shown

a b c (Å): 7.290 7.290 7.290
angles (deg): 90.00 90.00 90.00
Space group F-43m (No. 216)
Inequivalent atoms, fractional coordinates:
Ag: 0.000 0.000 0.000 x4
Br: 0.250 0.250 0.750 x4
O: 0.009 0.250 0.750 x24

# 4
Ag2Br2O: optimized geometry, PBE-GGA.

Properties
final energy = -117.52 eV for the cell shown

a b c (Å): 8.049 10.479 11.385
angles (deg): 90.00 90.00 90.00
Space group Fddd (No. 70, origin choice 2)
Inequivalent atoms, fractional coordinates:
Ag: 0.000 0.000 0.000 x16
Br: 0.125 0.317 0.625 x16
O: 0.125 0.125 0.125 x8

# 5
AgSbBrO2: optimized geometry, PBE-GGA.

Properties
final energy = -44.08 eV for the cell shown

a b c (Å): 6.378 4.064 7.502
angles (deg): 90.00 104.62 90.00
Space group P2_1/m (No. 11)
Inequivalent atoms, fractional coordinates:
Ag: 0.207 0.250 0.457 x2
Sb: 0.159 0.250 0.906 x2
Br: 0.474 0.750 0.712 x2
O: 0.022 0.750 0.348 x2
O: 0.073 0.750 0.947 x2

# 6
Sr2Ag3Br2O4: optimized geometry, PBE-GGA.

Properties
final energy = -94.29 eV for the cell shown

a b c (Å): 5.948 5.948 12.706
angles (deg): 90.00 90.00 90.00
Space group I4/mmm (No. 139)
Inequivalent atoms, fractional coordinates:
Sr: 0.000 0.000 0.137 x4
Ag: 0.000 0.000 0.500 x2
Ag: 0.000 0.500 0.000 x4
Br: 0.000 0.500 0.250 x4
O: 0.227 0.227 0.000 x8

# 7
Ag5OsS4Br2: optimized geometry, PBE-GGA.

Properties
final energy = -92.73 eV for the cell shown
spin magnetization = 0.0 μB/f.u.

a b c (Å): 7.673 11.480 6.374
angles (deg): 90.00 90.00 90.00
Space group Amm2 (No. 38)
Inequivalent atoms, fractional coordinates:
Ag: 0.000 0.000 0.000 x2
Ag: 0.295 0.180 0.456 x8
Os: 0.500 0.000 0.022 x2
S: 0.267 0.000 0.229 x4
S: 0.500 0.157 0.818 x4
Br: 0.000 0.172 0.701 x4

# 8
Tl2AgOsBr6: optimized geometry, PBE-GGA.

Properties
final energy = -128.65 eV for the cell shown
spin magnetization = 1.0 μB/f.u.

a b c (Å): 10.620 10.620 10.620
angles (deg): 90.00 90.00 90.00
Space group Fm-3m (No. 225)
Inequivalent atoms, fractional coordinates:
Tl: 0.250 0.250 0.250 x8
Ag: 0.000 0.000 0.000 x4
Os: 0.000 0.000 0.500 x4
Br: 0.000 0.000 0.263 x24